Computed, not measured: a relaxed Pm2CoReO8 crystal at the PBE with a Hubbard U level of DFT.

The structure in POSCAR format:
```
Pm2CoReO8
1.0
4.5739 -0.2981 -0.0849
-0.2799 5.0856 0.2752
-0.0909 0.3646 6.9557
O Pm Re Co
8 2 1 1
Direct
0.8482 0.2809 0.8527
0.8442 0.0894 0.2447
0.2645 0.2930 0.4712
0.1518 0.7191 0.1473
0.3399 0.2313 0.0380
0.1558 0.9106 0.7553
0.7355 0.7070 0.5288
0.6601 0.7687 0.9620
0.3739 0.5099 0.7462
0.6261 0.4901 0.2538
0.0000 0.0000 0.0000
0.0000 0.0000 0.5000
```

## Properties
symmetry	P-1
total energy	-92.473	eV/cell
ρ	6.851	g cm⁻³